No. 1
VASP calculation (GGA-PBEsol) on a geometry-optimized RbVSO6 structure.

Calculated values
- formation energy from raw total energies (eV per atom) = -1.95

Lattice parameters (Å, degrees): 5.5437 8.7976 10.9975 90.00 90.00 90.00
Closest atoms and distances in Å follow each position.
Fractional coordinates of all 36 atoms:
Rb: 0.0130 0.1917 0.1496  8 O 2.84-3.14
Rb: 0.4870 0.8083 0.6496  8 O 2.84-3.14
Rb: 0.5130 0.3083 0.8504  8 O 2.84-3.14
Rb: 0.9870 0.6917 0.3504  8 O 2.84-3.14
V: 0.0279 0.6520 0.9414  2 O 1.60-1.75
V: 0.4721 0.3480 0.4414  2 O 1.60-1.75
V: 0.5279 0.8480 0.0586  2 O 1.60-1.75
V: 0.9721 0.1520 0.5586  2 O 1.60-1.75
S: 0.0197 0.0469 0.7863  4 O 1.45-1.54
S: 0.4803 0.9531 0.2863  4 O 1.45-1.54
S: 0.5197 0.4531 0.2137  4 O 1.45-1.54
S: 0.9803 0.5469 0.7137  4 O 1.45-1.54
O: 0.0200 0.4963 0.0166  1 V 1.60
O: 0.0225 0.1394 0.8952  1 S 1.45
O: 0.0538 0.8851 0.8054  1 S 1.45
O: 0.1910 0.2650 0.4888  2 V 1.75-1.80
O: 0.2068 0.1041 0.6935  1 S 1.54
O: 0.2070 0.5772 0.7897  1 S 1.53
O: 0.2930 0.4228 0.2897  1 S 1.53
O: 0.2932 0.8959 0.1935  1 S 1.54
O: 0.3090 0.7350 0.9888  2 V 1.75-1.80
O: 0.4462 0.1149 0.3054  1 S 1.45
O: 0.4775 0.8606 0.3952  1 S 1.45
O: 0.4800 0.5037 0.5166  1 V 1.60
O: 0.5200 0.0037 0.9834  1 V 1.60
O: 0.5225 0.3606 0.1048  1 S 1.45
O: 0.5538 0.6149 0.1946  1 S 1.45
O: 0.6910 0.2350 0.5112  2 V 1.75-1.80
O: 0.7068 0.3959 0.3065  1 S 1.54
O: 0.7070 0.9228 0.2103  1 S 1.53
O: 0.7930 0.0772 0.7103  1 S 1.53
O: 0.7932 0.6041 0.8065  1 S 1.54
O: 0.8090 0.7650 0.0112  2 V 1.75-1.80
O: 0.9462 0.3851 0.6946  1 S 1.45
O: 0.9775 0.6394 0.6048  1 S 1.45
O: 0.9800 0.9963 0.4834  1 V 1.60

---

No. 2
VASP calculation (GGA-PBEsol) on a geometry-optimized Al2FeMo structure.

Calculated values
- energy of formation from the pure elements (eV/atom) = -0.0309
- N(E_F) (states/eV/f.u.) = 3.99
- relative energy among the computed polymorphs (meV per atom) = 187

Lattice parameters (Å, degrees): 4.2433 4.2433 4.2433 60.00 60.00 60.00
Closest atoms and distances in Å follow each position.
Fractional coordinates of all 4 atoms:
Al: 0.2500 0.2500 0.2500  4 Fe 2.60, 4 Mo 2.60
Al: 0.7500 0.7500 0.7500  4 Mo 2.60, 4 Fe 2.60
Fe: 0.0000 0.0000 0.0000  8 Al 2.60
Mo: 0.5000 0.5000 0.5000  8 Al 2.60

---

No. 3
VASP calculation (GGA-PBEsol) on a geometry-optimized V4GaSe8 structure.

Calculated values
- N(E_F) (states/eV/f.u.) = 4.62
- formation energy from raw total energies (eV per atom) = -0.75

Lattice parameters (Å, degrees): 7.1026 7.1026 7.1026 60.00 60.00 60.00
Closest atoms and distances in Å follow each position.
Fractional coordinates of all 13 atoms:
V: 0.3959 0.3959 0.3959  6 Se 2.41-2.63
V: 0.3959 0.3959 0.8123  6 Se 2.41-2.63
V: 0.3959 0.8123 0.3959  6 Se 2.41-2.63
V: 0.8123 0.3959 0.3959  6 Se 2.41-2.63
Ga: 0.0000 0.0000 0.0000  4 Se 2.40
Se: 0.1015 0.6328 0.6328  3 V 2.41
Se: 0.1380 0.1380 0.1380  1 Ga 2.40, 3 V 2.63
Se: 0.1380 0.1380 0.5860  1 Ga 2.40, 3 V 2.63
Se: 0.1380 0.5860 0.1380  1 Ga 2.40, 3 V 2.63
Se: 0.5860 0.1380 0.1380  1 Ga 2.40, 3 V 2.63
Se: 0.6328 0.1015 0.6328  3 V 2.41
Se: 0.6328 0.6328 0.1015  3 V 2.41
Se: 0.6328 0.6328 0.6328  3 V 2.41

---

No. 4
VASP calculation (GGA-PBEsol) on a geometry-optimized CdSb2Cl structure.

Calculated values
- N(E_F) (states/eV/f.u.) = 1.41
- formation energy from raw total energies (eV per atom) = -0.14
- relative energy among the computed polymorphs (meV per atom) = 27

Lattice parameters (Å, degrees): 6.9115 6.9115 6.9115 151.14 140.55 49.61
Closest atoms and distances in Å follow each position.
Fractional coordinates of all 4 atoms:
Cd: 0.0000 0.0000 0.0000  4 Cl 2.90, 4 Sb 3.05
Sb: 0.2010 0.7010 0.5000  2 Cd 3.05, 4 Sb 3.15
Sb: 0.7990 0.2990 0.5000  2 Cd 3.05, 4 Sb 3.15
Cl: 0.5000 0.5000 0.0000  4 Cd 2.90

---

| no. | volume (A^3/atom) | density (Mg/m³) | uncorrected energy (eV/cell) |
| --- | --- | --- | --- |
| 1 | 14.899 | 3.28 | -256.38 |
| 2 | 13.507 | 6.32 | -29.04 |
| 3 | 19.489 | 5.93 | -82.41 |
| 4 | 25.200 | 6.45 | -12.89 |